{"formula": "Rb3ZrGe", "functional": "GGA-PBE", "state": "relaxed", "e_tot_ev_per_atom": -2.077, "e_above_lowest_polymorph_ev_per_atom": 0.000, "lattice": [[6.745, 0.000, 0.000], [0.000, 6.745, 0.000], [0.000, 0.000, 6.745]], "species": ["Ge", "Rb", "Rb", "Rb", "Zr"], "fractional_positions": [[0.000, 0.000, 0.000], [0.000, 0.500, 0.000], [0.000, 0.000, 0.500], [0.500, 0.000, 0.000], [0.500, 0.500, 0.500]]}


{"formula": "RbZrGe3", "functional": "GGA-PBE", "state": "relaxed", "e_tot_ev_per_atom": -2.914, "e_above_lowest_polymorph_ev_per_atom": 1.724, "lattice": [[5.258, 0.000, 0.000], [0.000, 5.258, 0.000], [0.000, 0.000, 5.258]], "species": ["Ge", "Ge", "Ge", "Rb", "Zr"], "fractional_positions": [[0.000, 0.500, 0.000], [0.000, 0.000, 0.500], [0.500, 0.000, 0.000], [0.000, 0.000, 0.000], [0.500, 0.500, 0.500]]}


{"formula": "RbZr3Ge", "functional": "GGA-PBE", "state": "relaxed", "e_tot_ev_per_atom": -4.201, "e_above_lowest_polymorph_ev_per_atom": 1.339, "lattice": [[5.012, 0.000, 0.000], [0.000, 5.012, 0.000], [0.000, 0.000, 5.012]], "species": ["Ge", "Rb", "Zr", "Zr", "Zr"], "fractional_positions": [[0.500, 0.500, 0.500], [0.000, 0.000, 0.000], [0.000, 0.500, 0.000], [0.000, 0.000, 0.500], [0.500, 0.000, 0.000]]}


{"formula": "RbZr2Ge2", "functional": "GGA-PBE", "state": "relaxed", "e_tot_ev_per_atom": -5.464, "e_above_lowest_polymorph_ev_per_atom": 0.179, "lattice": [[5.151, 0.000, 0.000], [0.000, 5.151, 0.000], [2.576, 2.576, 5.589]], "species": ["Ge", "Ge", "Rb", "Zr", "Zr"], "fractional_positions": [[0.750, 0.250, 0.500], [0.250, 0.750, 0.500], [0.000, 0.000, 0.000], [0.318, 0.318, 0.363], [0.682, 0.682, 0.637]]}


{"formula": "RbZr3Ge", "functional": "GGA-PBE", "state": "relaxed", "e_tot_ev_per_atom": -5.540, "e_above_lowest_polymorph_ev_per_atom": 0.000, "lattice": [[5.286, 0.000, 0.000], [0.000, 5.286, 0.000], [0.000, 0.000, 5.286]], "species": ["Ge", "Rb", "Zr", "Zr", "Zr"], "fractional_positions": [[0.000, 0.000, 0.000], [0.500, 0.500, 0.500], [0.000, 0.500, 0.000], [0.000, 0.000, 0.500], [0.500, 0.000, 0.000]]}


{"formula": "RbZrGe3", "functional": "GGA-PBE", "state": "relaxed", "e_tot_ev_per_atom": -4.638, "e_above_lowest_polymorph_ev_per_atom": 0.000, "lattice": [[-4.380, 2.401, 1.802], [-3.001, -3.551, -2.564], [0.046, -3.134, 4.286]], "species": ["Ge", "Ge", "Ge", "Rb", "Zr"], "fractional_positions": [[0.000, 0.500, 0.000], [0.000, 0.000, 0.500], [0.500, 0.000, 0.000], [0.500, 0.500, 0.500], [0.000, 0.000, 0.000]]}


{"formula": "Re3Ge7", "functional": "GGA-PBE", "state": "relaxed", "e_tot_ev_per_atom": -6.980, "lattice": [[-1.295, -4.637, 0.565], [2.391, 2.875, -3.084], [18.840, -3.928, 10.944]], "species": ["Re", "Re", "Re", "Re", "Re", "Re", "Ge", "Ge", "Ge", "Ge", "Ge", "Ge", "Ge", "Ge", "Ge", "Ge", "Ge", "Ge", "Ge", "Ge"], "fractional_positions": [[0.481, 0.519, 0.250], [0.519, 0.481, 0.750], [0.926, 0.074, 0.059], [0.074, 0.926, 0.941], [0.074, 0.926, 0.559], [0.926, 0.074, 0.441], [0.764, 0.236, 0.250], [0.236, 0.764, 0.750], [0.646, 0.354, 0.032], [0.354, 0.646, 0.968], [0.354, 0.646, 0.532], [0.646, 0.354, 0.468], [0.941, 0.059, 0.838], [0.059, 0.941, 0.162], [0.059, 0.941, 0.338], [0.941, 0.059, 0.662], [0.676, 0.324, 0.864], [0.324, 0.676, 0.136], [0.324, 0.676, 0.364], [0.676, 0.324, 0.636]]}


{"formula": "Re3Ge", "functional": "GGA-PBE", "state": "relaxed", "e_tot_ev_per_atom": -10.114, "e_above_lowest_polymorph_ev_per_atom": 0.155, "lattice": [[2.771, -4.800, 0.000], [2.771, 4.800, 0.000], [0.000, 0.000, 4.484]], "species": ["Re", "Re", "Re", "Re", "Re", "Re", "Ge", "Ge"], "fractional_positions": [[0.170, 0.340, 0.250], [0.660, 0.830, 0.250], [0.170, 0.830, 0.250], [0.830, 0.660, 0.750], [0.340, 0.170, 0.750], [0.830, 0.170, 0.750], [0.333, 0.667, 0.750], [0.667, 0.333, 0.250]]}


{"formula": "Re3Ge", "functional": "GGA-PBE", "state": "relaxed", "e_tot_ev_per_atom": -10.269, "e_above_lowest_polymorph_ev_per_atom": 0.000, "lattice": [[2.904, 0.000, 0.000], [0.000, 4.433, 0.000], [0.000, 0.000, 4.683]], "species": ["Re", "Re", "Re", "Ge"], "fractional_positions": [[0.000, 0.500, 0.313], [0.500, 0.000, 0.531], [0.500, 0.500, 0.821], [0.000, 0.000, 0.002]]}


{"formula": "Re3Ge", "functional": "GGA-PBE", "state": "relaxed", "e_tot_ev_per_atom": -10.108, "e_above_lowest_polymorph_ev_per_atom": 0.162, "lattice": [[4.947, 0.014, 0.000], [2.026, 4.514, 0.000], [-3.486, -2.264, 2.682]], "species": ["Re", "Re", "Re", "Ge"], "fractional_positions": [[0.750, 0.250, 0.500], [0.250, 0.750, 0.500], [0.500, 0.500, 0.000], [0.000, 0.000, 0.000]]}


{"formula": "ReGeRh2", "functional": "GGA-PBE", "state": "relaxed", "e_tot_ev_per_atom": -7.286, "lattice": [[-4.071, 1.956, -2.879], [-3.014, 0.234, 4.422], [-1.628, 6.573, 1.786]], "species": ["Re", "Re", "Ge", "Ge", "Rh", "Rh", "Rh", "Rh"], "fractional_positions": [[0.000, 0.000, 0.000], [0.750, 0.250, 0.500], [0.500, 0.500, 0.000], [0.250, 0.750, 0.500], [0.626, 0.125, 0.250], [0.124, 0.625, 0.250], [0.375, 0.374, 0.750], [0.875, 0.876, 0.750]]}


{"formula": "ReGeRh3", "functional": "GGA-PBE", "state": "relaxed", "e_tot_ev_per_atom": -6.730, "e_above_lowest_polymorph_ev_per_atom": 0.000, "lattice": [[-3.628, 1.298, -2.276], [-2.526, -0.696, 3.628], [0.699, 4.226, 1.297]], "species": ["Re", "Ge", "Rh", "Rh", "Rh"], "fractional_positions": [[0.500, 0.500, 0.500], [0.000, 0.000, 0.000], [0.000, 0.500, 0.000], [0.000, 0.000, 0.500], [0.500, 0.000, 0.000]]}


no.,density (Mg/m³),total magnetization (μB/f.u.)
1,2.27,2.80
2,4.51,0.00
3,5.70,1.60
4,4.63,0.20
5,4.85,1.28
6,4.38,0.00
7,10.74,0.00
8,17.58,0.00
9,17.39,0.00
10,17.52,0.00
11,9.13,0.00
12,10.51,4.00